Entry from Alexandria: a relaxed structure of CeEuGePt (PBE).

```
4
Lattice="0.0000 3.6271 3.6271 3.6271 0.0000 3.6271 3.6271 3.6271 0.0000" Properties=species:S:1:pos:R:3 pbc="T T T"
Ce 0.0000 0.0000 0.0000
Eu 3.6271 3.6271 3.6271
Ge 5.4406 5.4406 5.4406
Pt 1.8135 1.8135 1.8135
```

Values from the calculation:
raw total energy	-7.464	eV per atom
total magnetic moment	7.161	Bohr magnetons per cell



Entry from Alexandria: a relaxed structure of NaLi3Mn (PBE).

```
5
Lattice="5.1232 0.0000 0.0000 0.0000 5.1232 0.0000 0.0000 0.0000 5.1232" Properties=species:S:1:pos:R:3 pbc="T T T"
Na 0.0000 0.0000 0.0000
Li 0.0000 2.5616 2.5616
Li 2.5616 0.0000 2.5616
Li 2.5616 2.5616 0.0000
Mn 2.5616 2.5616 2.5616
```

Values from the calculation:
raw total energy	-2.678	eV per atom
total magnetic moment	4.191	Bohr magnetons per cell
excess energy over the best structure of this formula in the dataset	0.0000	eV per atom



Entry from Alexandria: a relaxed structure of KCrAu2 (PBE).

```
4
Lattice="3.3001 0.0000 0.0000 0.0000 3.3879 0.0000 0.0000 0.0000 8.0537" Properties=species:S:1:pos:R:3 pbc="T T T"
K 0.0000 0.0000 0.0000
Cr 0.0000 0.0000 4.0269
Au 1.6500 1.6940 2.5245
Au 1.6500 1.6940 5.5292
```

Values from the calculation:
raw total energy	-4.245	eV per atom
total magnetic moment	4.124	Bohr magnetons per cell
excess energy over the best structure of this formula in the dataset	0.0198	eV per atom



Entry from Alexandria: a relaxed structure of GaHg2I2 (PBE).

```
10
Lattice="9.0492 0.0000 0.0000 0.0000 9.0492 0.0000 0.0000 0.0000 5.7979" Properties=species:S:1:pos:R:3 pbc="T T T"
Ga 0.0000 0.0000 0.0000
Ga 4.5246 4.5246 0.0000
Hg 1.0094 3.5152 2.8989
Hg 3.5152 8.0398 2.8989
Hg 5.5339 1.0094 2.8989
Hg 8.0398 5.5339 2.8989
I 1.9451 2.5795 0.0000
I 2.5795 7.1041 0.0000
I 6.4697 1.9451 0.0000
I 7.1041 6.4697 0.0000
```

Values from the calculation:
raw total energy	-1.399	eV per atom
total magnetic moment	0.000	Bohr magnetons per cell
uncorrected formation energy	-0.053	eV per atom
excess energy over the best structure of this formula in the dataset	0.0348	eV per atom



Entry from Alexandria: a relaxed structure of ZnAsPb2 (PBE).

```
4
Lattice="-1.9410 2.6344 4.9434 1.9410 -2.6344 4.9434 1.9410 2.6344 -4.9434" Properties=species:S:1:pos:R:3 pbc="T T T"
Zn 0.0000 0.0000 0.0000
As 0.0000 2.6344 3.2997
Pb 1.9410 0.0000 2.5418
Pb 0.0000 0.0000 5.3547
```

Values from the calculation:
raw total energy	-3.226	eV per atom
total magnetic moment	0.000	Bohr magnetons per cell
excess energy over the best structure of this formula in the dataset	0.0781	eV per atom



Entry from Alexandria: a relaxed structure of PmNdY3Ho (PBE).

```
12
Lattice="2.5427 -7.6275 0.0000 2.5427 7.6275 0.0000 0.0000 0.0000 10.1724" Properties=species:S:1:pos:R:3 pbc="T T T"
Pm 2.5427 7.6128 7.6293
Pm 2.5427 -7.6128 2.5431
Nd 2.5427 0.0000 0.0000
Nd 2.5427 0.0000 5.0862
Y 2.5427 5.0727 10.1701
Y 2.5427 5.0727 5.0884
Y 2.5427 2.5577 7.6293
Y 2.5427 -2.5577 2.5431
Y 2.5427 -5.0727 0.0022
Y 2.5427 -5.0727 5.0839
Ho 2.5427 2.5531 2.5431
Ho 2.5427 -2.5531 7.6293
```

Values from the calculation:
raw total energy	-5.561	eV per atom
total magnetic moment	0.000	Bohr magnetons per cell



Which of these has the lowest raw total energy? CeEuGePt



Among the records above, which one has the highest raw total energy? GaHg2I2



Which value of raw total energy does entry 2 give? -2.678 eV per atom